# 1
Computed, not measured: Ca2PdAu after structural relaxation at the PBE-GGA level of DFT.

Unit cell a=4.1073 b=4.1073 c=7.6930 alpha=74.52 beta=74.52 gamma=60.00
Fractional coordinates of all 4 atoms:
Ca (0.0854, 0.0854, 0.7438)
Ca (0.2478, 0.2478, 0.2565)
Pd (0.5026, 0.5026, 0.4921)
Au (0.6641, 0.6641, 0.0076)

Output
Magnetic moment (μB per formula unit): 0.00
Theoretical density (g/cm³): 5.96
Uncorrected energy (eV per atom): -3.6769

# 2
Computed, not measured: Ca5Pd4Au after structural relaxation at the PBE-GGA level of DFT.

Unit cell a=3.5645 b=3.5645 c=17.6594 alpha=90.00 beta=90.00 gamma=90.00
Fractional coordinates of all 10 atoms:
Au (0.0000, 0.0000, 0.0000)
Pd (0.0000, 0.0000, 0.4013)
Pd (0.0000, 0.0000, 0.5987)
Pd (0.0000, 0.0000, 0.2048)
Pd (0.0000, 0.0000, 0.7952)
Ca (0.5000, 0.5000, 0.5000)
Ca (0.5000, 0.5000, 0.6962)
Ca (0.5000, 0.5000, 0.1068)
Ca (0.5000, 0.5000, 0.3038)
Ca (0.5000, 0.5000, 0.8932)

Output
Magnetic moment (μB per formula unit): 0.00
Theoretical density (g/cm³): 6.09
Uncorrected energy (eV per atom): -4.1047

# 3
Computed, not measured: Ca3Pd4Au4 after structural relaxation at the PBE-GGA level of DFT.

Unit cell a=6.9637 b=6.9637 c=6.9637 alpha=109.47 beta=109.47 gamma=109.47
Fractional coordinates of all 11 atoms:
Pd (0.0000, 0.2403, 0.0000)
Pd (0.2403, 0.0000, 0.0000)
Pd (0.0000, 0.0000, 0.2403)
Pd (0.7597, 0.7597, 0.7597)
Au (0.0000, 0.0000, 0.6040)
Au (0.3960, 0.3960, 0.3960)
Au (0.6040, 0.0000, 0.0000)
Au (0.0000, 0.6040, 0.0000)
Ca (0.0000, 0.5000, 0.5000)
Ca (0.5000, 0.5000, 0.0000)
Ca (0.5000, 0.0000, 0.5000)

Output
Magnetic moment (μB per formula unit): 0.00
Theoretical density (g/cm³): 8.52
Uncorrected energy (eV per atom): -4.0431

# 4
Computed, not measured: CaPdAu3 after structural relaxation at the PBE-GGA level of DFT.

Unit cell a=5.0740 b=5.0740 c=5.0740 alpha=90.00 beta=90.00 gamma=90.00
Fractional coordinates of all 5 atoms:
Au (0.0000, 0.0000, 0.5000)
Au (0.0000, 0.5000, 0.0000)
Au (0.5000, 0.0000, 0.0000)
Ca (0.5000, 0.5000, 0.5000)
Pd (0.0000, 0.0000, 0.0000)

Output
Magnetic moment (μB per formula unit): 0.00
Theoretical density (g/cm³): 9.37
Offset from the most stable computed form (meV/atom): 436.0

# 5
Computed, not measured: Ca2PdAu after structural relaxation at the PBE-GGA level of DFT.

Unit cell a=7.8303 b=7.8303 c=6.3931 alpha=52.24 beta=52.24 gamma=90.00
Fractional coordinates of all 8 atoms:
Pd (0.5000, 0.5000, 0.0000)
Pd (0.2500, 0.7500, 0.5000)
Ca (0.3750, 0.3881, 0.7500)
Ca (0.1381, 0.6250, 0.2500)
Ca (0.6119, 0.1250, 0.2500)
Ca (0.8750, 0.8619, 0.7500)
Au (0.0000, 0.0000, 0.0000)
Au (0.7500, 0.2500, 0.5000)

Output
Magnetic moment (μB per formula unit): 0.00
Theoretical density (g/cm³): 6.50
Uncorrected energy (eV per atom): -3.5612

# 6
Computed, not measured: Ca2PdAu3 after structural relaxation at the PBE-GGA level of DFT.

Unit cell a=4.8171 b=5.6495 c=6.4282 alpha=116.07 beta=112.00 gamma=90.00
Fractional coordinates of all 6 atoms:
Au (0.6321, 0.6321, 0.2643)
Au (0.3679, 0.3679, 0.7357)
Au (0.0000, 0.0000, 0.0000)
Pd (0.0000, 0.5000, 0.0000)
Ca (0.3023, 0.8023, 0.6046)
Ca (0.6977, 0.1977, 0.3954)

Output
Magnetic moment (μB per formula unit): 0.00
Theoretical density (g/cm³): 9.04
Offset from the most stable computed form (meV/atom): 156.4

# 7
Computed, not measured: Ca3PdAu5 after structural relaxation at the PBE-GGA level of DFT.

Unit cell a=8.8535 b=8.8535 c=8.3196 alpha=122.15 beta=122.15 gamma=90.00
Fractional coordinates of all 18 atoms:
Au (0.9513, 0.4513, 0.2798)
Au (0.4513, 0.3286, 0.2798)
Au (0.3286, 0.8286, 0.2798)
Au (0.0487, 0.5487, 0.7202)
Au (0.6714, 0.1714, 0.7202)
Au (0.0000, 0.0000, 0.0000)
Au (0.8286, 0.9513, 0.2798)
Au (0.5487, 0.6714, 0.7202)
Au (0.1714, 0.0487, 0.7202)
Au (0.5000, 0.5000, 0.0000)
Ca (0.3762, 0.8762, 0.0000)
Ca (0.6238, 0.1238, 0.0000)
Ca (0.8762, 0.6238, 0.0000)
Ca (0.7500, 0.7500, 0.5000)
Ca (0.2500, 0.2500, 0.5000)
Ca (0.1238, 0.3762, 0.0000)
Pd (0.2500, 0.7500, 0.5000)
Pd (0.7500, 0.2500, 0.5000)

Output
Magnetic moment (μB per formula unit): 0.00
Theoretical density (g/cm³): 9.37
Uncorrected energy (eV per atom): -3.5156

# 8
Computed, not measured: Ca2Pd2Au15 after structural relaxation at the PBE-GGA level of DFT.

Unit cell a=7.2828 b=7.2828 c=7.2828 alpha=82.63 beta=82.63 gamma=82.63
Fractional coordinates of all 19 atoms:
Au (0.3036, 0.6964, 0.0000)
Au (0.8451, 0.3510, 0.3510)
Au (0.5000, 0.0000, 0.0000)
Au (0.3036, 0.0000, 0.6964)
Au (0.6490, 0.1549, 0.6490)
Au (0.1549, 0.6490, 0.6490)
Au (0.0000, 0.5000, 0.0000)
Au (0.3510, 0.3510, 0.8451)
Au (0.6964, 0.3036, 0.0000)
Au (0.0000, 0.0000, 0.5000)
Au (0.0000, 0.3036, 0.6964)
Au (0.6964, 0.0000, 0.3036)
Au (0.0000, 0.6964, 0.3036)
Au (0.6490, 0.6490, 0.1549)
Au (0.3510, 0.8451, 0.3510)
Ca (0.6744, 0.6744, 0.6744)
Ca (0.3256, 0.3256, 0.3256)
Pd (0.9009, 0.9009, 0.9009)
Pd (0.0991, 0.0991, 0.0991)

Output
Magnetic moment (μB per formula unit): 0.00
Theoretical density (g/cm³): 14.29
Uncorrected energy (eV per atom): -3.5959

# 9
Computed, not measured: CaPdAu2 after structural relaxation at the PBE-GGA level of DFT.

Unit cell a=3.7108 b=3.7108 c=5.7689 alpha=90.00 beta=90.00 gamma=90.00
Fractional coordinates of all 4 atoms:
Au (0.0000, 0.0000, 0.7601)
Au (0.0000, 0.0000, 0.2399)
Ca (0.5000, 0.5000, 0.5000)
Pd (0.5000, 0.5000, 0.0000)

Output
Magnetic moment (μB per formula unit): 0.00
Theoretical density (g/cm³): 11.30
Offset from the most stable computed form (meV/atom): 110.2

# 10
Computed, not measured: Ca2PdAu3 after structural relaxation at the PBE-GGA level of DFT.

Unit cell a=3.5343 b=4.6229 c=8.2882 alpha=90.00 beta=90.00 gamma=90.00
Fractional coordinates of all 6 atoms:
Pd (0.5000, 0.5000, 0.3349)
Ca (0.0000, 0.5000, 0.0096)
Ca (0.0000, 0.0000, 0.4917)
Au (0.5000, 0.5000, 0.6581)
Au (0.5000, 0.0000, 0.8374)
Au (0.5000, 0.0000, 0.1683)

Output
Magnetic moment (μB per formula unit): 0.00
Theoretical density (g/cm³): 9.53
Offset from the most stable computed form (meV/atom): 0.0

# 11
Computed, not measured: CaPdAu2 after structural relaxation at the PBE-GGA level of DFT.

Unit cell a=4.6628 b=4.6628 c=5.2507 alpha=63.64 beta=63.64 gamma=60.00
Fractional coordinates of all 4 atoms:
Pd (0.5000, 0.5000, 0.5000)
Au (0.2180, 0.2180, 0.3461)
Au (0.7820, 0.7820, 0.6539)
Ca (0.0000, 0.0000, 0.0000)

Output
Magnetic moment (μB per formula unit): 0.00
Theoretical density (g/cm³): 10.57
Offset from the most stable computed form (meV/atom): 87.0

# 12
Computed, not measured: CaPd6Au2 after structural relaxation at the PBE-GGA level of DFT.

Unit cell a=4.1216 b=8.5801 c=8.5801 alpha=90.00 beta=90.00 gamma=90.00
Fractional coordinates of all 18 atoms:
Pd (0.0000, 0.6626, 0.5023)
Pd (0.5000, 0.1626, 0.9977)
Pd (0.5000, 0.5022, 0.3375)
Pd (0.5000, 0.1689, 0.6688)
Pd (0.5000, 0.8311, 0.3312)
Pd (0.0000, 0.0022, 0.1626)
Pd (0.0000, 0.6689, 0.8312)
Pd (0.0000, 0.9978, 0.8374)
Pd (0.0000, 0.3374, 0.4977)
Pd (0.5000, 0.8374, 0.0023)
Pd (0.5000, 0.4978, 0.6626)
Pd (0.0000, 0.3311, 0.1688)
Au (0.0000, 0.6738, 0.1738)
Au (0.5000, 0.1738, 0.3262)
Au (0.5000, 0.8262, 0.6738)
Au (0.0000, 0.3262, 0.8262)
Ca (0.5000, 0.5000, 0.0000)
Ca (0.0000, 0.0000, 0.5000)

Output
Magnetic moment (μB per formula unit): 0.00
Theoretical density (g/cm³): 11.74
Offset from the most stable computed form (meV/atom): 0.0